Record 1
# Li2ZrI

Li2ZrI at its PBEsol-relaxed geometry (meta-GGA SCAN, the Alexandria database).

ΔE_f (raw) ... 0.55 eV per atom

Cell: 4.813 4.813 4.813 Å, 60.00 60.00 60.00°
Fractional coordinates of all 4 atoms:
I (0.500, 0.500, 0.500)
Zr (0.000, 0.000, 0.000)
Li (0.250, 0.250, 0.250)
Li (0.750, 0.750, 0.750)

=====

Record 2
# SrFeMo3

SrFeMo3 at its PBEsol-relaxed geometry (meta-GGA SCAN, the Alexandria database).

Uncorrected energy ... -138.98 eV/f.u.

Cell: 4.579 4.579 4.579 Å, 90.00 90.00 90.00°
Site moments in Bohr magnetons follow the coordinates.
Fractional coordinates of all 5 atoms:
Sr (0.500, 0.500, 0.500)  0.09
Mo (0.000, 0.500, 0.000)  0.84
Mo (0.000, 0.000, 0.500)  0.84
Mo (0.500, 0.000, 0.000)  0.84
Fe (0.000, 0.000, 0.000)  -0.20

=====

Record 3
# Rb12Sn2As6O

Rb12Sn2As6O at its PBEsol-relaxed geometry (meta-GGA SCAN, the Alexandria database).

ΔE_f (raw) ... -0.62 eV per atom

Cell: 6.002 11.694 11.694 Å, 120.00 90.00 90.00°
Fractional coordinates of all 21 atoms:
Rb (0.728, 0.884, 0.768)
Rb (0.728, 0.884, 0.116)
Rb (0.728, 0.232, 0.116)
Rb (0.272, 0.116, 0.232)
Rb (0.272, 0.116, 0.884)
Rb (0.272, 0.768, 0.884)
Rb (0.751, 0.544, 0.087)
Rb (0.751, 0.544, 0.456)
Rb (0.751, 0.913, 0.456)
Rb (0.249, 0.456, 0.913)
Rb (0.249, 0.456, 0.544)
Rb (0.249, 0.087, 0.544)
Sn (0.248, 0.667, 0.333)
Sn (0.752, 0.333, 0.667)
As (0.756, 0.208, 0.416)
As (0.756, 0.208, 0.792)
As (0.756, 0.584, 0.792)
As (0.244, 0.792, 0.584)
As (0.244, 0.792, 0.208)
As (0.244, 0.416, 0.208)
O (0.500, 0.000, 0.000)

=====

The evaluated volume for the records listed, in turn: 19.7, 19.2, 33.8 Å³ per atom.